*one*
# ZnFeCoNi, relaxed, DFT PBE-GGA
# crystal system = cubic
data_ZnFeCoNi
_space_group_name_H-M_alt 'F -4 3 m'
_space_group_IT_number 216
_space_group_name_Hall 'F -4 2 3'
_cell_length_a 5.7041
_cell_length_b 5.7041
_cell_length_c 5.7041
_cell_angle_alpha 90.00
_cell_angle_beta 90.00
_cell_angle_gamma 90.00
loop_
_atom_site_label
_atom_site_type_symbol
_atom_site_fract_x
_atom_site_fract_y
_atom_site_fract_z
_atom_site_occupancy
Zn1 Zn 0.0000 0.0000 0.0000 1
Fe1 Fe 0.2500 0.2500 0.7500 1
Co1 Co 0.2500 0.2500 0.2500 1
Ni1 Ni 0.0000 0.0000 0.5000 1



*two*
# ZnFeCoNi, relaxed, DFT PBE-GGA
# crystal system = cubic
data_ZnFeCoNi
_space_group_name_H-M_alt 'F -4 3 m'
_space_group_IT_number 216
_space_group_name_Hall 'F -4 2 3'
_cell_length_a 5.7137
_cell_length_b 5.7137
_cell_length_c 5.7137
_cell_angle_alpha 90.00
_cell_angle_beta 90.00
_cell_angle_gamma 90.00
loop_
_atom_site_label
_atom_site_type_symbol
_atom_site_fract_x
_atom_site_fract_y
_atom_site_fract_z
_atom_site_occupancy
Zn1 Zn 0.0000 0.0000 0.0000 1
Fe1 Fe 0.0000 0.0000 0.5000 1
Co1 Co 0.2500 0.2500 0.7500 1
Ni1 Ni 0.2500 0.2500 0.2500 1



Stability ranking, top and bottom: *two* is the most stable and *one* is the least stable.



*one*
# ZrFeCoPb, relaxed, DFT PBE-GGA
# crystal system = cubic
data_ZrFeCoPb
_space_group_name_H-M_alt 'F -4 3 m'
_space_group_IT_number 216
_space_group_name_Hall 'F -4 2 3'
_cell_length_a 6.5360
_cell_length_b 6.5360
_cell_length_c 6.5360
_cell_angle_alpha 90.00
_cell_angle_beta 90.00
_cell_angle_gamma 90.00
loop_
_atom_site_label
_atom_site_type_symbol
_atom_site_fract_x
_atom_site_fract_y
_atom_site_fract_z
_atom_site_occupancy
Zr1 Zr 0.0000 0.0000 0.0000 1
Fe1 Fe 0.0000 0.0000 0.5000 1
Co1 Co 0.2500 0.2500 0.7500 1
Pb1 Pb 0.2500 0.2500 0.2500 1



*two*
# ZrFeCoPb, relaxed, DFT PBE-GGA
# crystal system = cubic
data_ZrFeCoPb
_space_group_name_H-M_alt 'F -4 3 m'
_space_group_IT_number 216
_space_group_name_Hall 'F -4 2 3'
_cell_length_a 6.5243
_cell_length_b 6.5243
_cell_length_c 6.5243
_cell_angle_alpha 90.00
_cell_angle_beta 90.00
_cell_angle_gamma 90.00
loop_
_atom_site_label
_atom_site_type_symbol
_atom_site_fract_x
_atom_site_fract_y
_atom_site_fract_z
_atom_site_occupancy
Zr1 Zr 0.0000 0.0000 0.0000 1
Fe1 Fe 0.2500 0.2500 0.7500 1
Co1 Co 0.0000 0.0000 0.5000 1
Pb1 Pb 0.2500 0.2500 0.2500 1



Stability ranking, top and bottom: *two* is the most stable and *one* is the least stable.



*one*
# FeCo2S4, relaxed, DFT PBE-GGA
# crystal system = tetragonal
data_FeCo2S4
_space_group_name_H-M_alt 'P 41 2 2'
_space_group_IT_number 91
_cell_length_a 6.5777
_cell_length_b 6.5777
_cell_length_c 9.2661
_cell_angle_alpha 90.00
_cell_angle_beta 90.00
_cell_angle_gamma 90.00
loop_
_space_group_symop_operation_xyz
'x,y,z'
'-y,x,z+1/4'
'-x,-y,z+1/2'
'y,-x,z+3/4'
'x,-y,-z+1/2'
'-y,-x,-z+1/4'
'-x,y,-z'
'y,x,-z+3/4'
loop_
_atom_site_label
_atom_site_type_symbol
_atom_site_fract_x
_atom_site_fract_y
_atom_site_fract_z
_atom_site_occupancy
Fe1 Fe 0.0000 0.2345 0.0000 1
Co1 Co 0.2412 0.5000 0.7500 1
Co2 Co 0.2606 0.2606 0.3750 1
S1 S 0.0038 0.2524 0.7536 1
S2 S 0.2488 0.4771 0.9920 1



*two*
# FeCo2S4, relaxed, DFT PBE-GGA
# crystal system = tetragonal
data_FeCo2S4
_space_group_name_H-M_alt 'P 41 2 2'
_space_group_IT_number 91
_cell_length_a 6.5609
_cell_length_b 6.5609
_cell_length_c 9.2559
_cell_angle_alpha 90.00
_cell_angle_beta 90.00
_cell_angle_gamma 90.00
loop_
_space_group_symop_operation_xyz
'x,y,z'
'-y,x,z+1/4'
'-x,-y,z+1/2'
'y,-x,z+3/4'
'x,-y,-z+1/2'
'-y,-x,-z+1/4'
'-x,y,-z'
'y,x,-z+3/4'
loop_
_atom_site_label
_atom_site_type_symbol
_atom_site_fract_x
_atom_site_fract_y
_atom_site_fract_z
_atom_site_occupancy
Fe1 Fe 0.2490 0.2490 0.3750 1
Co1 Co 0.0000 0.2511 0.0000 1
Co2 Co 0.2511 0.5000 0.7500 1
S1 S 0.0136 0.2500 0.7558 1
S2 S 0.2500 0.4882 0.9945 1



Stability ranking, top and bottom: *one* is the most stable and *two* is the least stable.



*one*
# FeCoSnS3, relaxed, DFT PBE-GGA
# crystal system = orthorhombic
data_FeCoSnS3
_space_group_name_H-M_alt 'C m c m'
_space_group_IT_number 63
_space_group_name_Hall '-C 2c 2'
_cell_length_a 3.2682
_cell_length_b 12.9726
_cell_length_c 9.3172
_cell_angle_alpha 90.00
_cell_angle_beta 90.00
_cell_angle_gamma 90.00
loop_
_atom_site_label
_atom_site_type_symbol
_atom_site_fract_x
_atom_site_fract_y
_atom_site_fract_z
_atom_site_occupancy
Fe1 Fe 0.0000 0.0000 0.0000 1
Co1 Co 0.0000 0.3700 0.2500 1
Sn1 Sn 0.0000 0.2867 0.7500 1
S1 S 0.0000 0.0099 0.7500 1
S2 S 0.0000 0.3779 0.0110 1



*two*
# FeCoSnS3, relaxed, DFT PBE-GGA
# crystal system = orthorhombic
data_FeCoSnS3
_space_group_name_H-M_alt 'C m c m'
_space_group_IT_number 63
_space_group_name_Hall '-C 2c 2'
_cell_length_a 3.5036
_cell_length_b 13.1127
_cell_length_c 8.7535
_cell_angle_alpha 90.00
_cell_angle_beta 90.00
_cell_angle_gamma 90.00
loop_
_atom_site_label
_atom_site_type_symbol
_atom_site_fract_x
_atom_site_fract_y
_atom_site_fract_z
_atom_site_occupancy
Fe1 Fe 0.0000 0.0246 0.2500 1
Co1 Co 0.0000 0.5000 0.0000 1
Sn1 Sn 0.0000 0.2643 0.7500 1
S1 S 0.0000 0.1228 0.0457 1
S2 S 0.0000 0.4268 0.2500 1



Stability ranking, top and bottom: *one* is the most stable and *two* is the least stable.